# 1
12
Lattice="-3.6497 3.6497 3.2000 3.6497 -3.6497 3.2000 3.6497 3.6497 -3.2000" Properties=species:S:1:pos:R:3 comment="GGA-PBEsol VBiO4, optimized geometry" e_form_raw_ev_per_atom=-1.9862 magnetic_moment_mub_per_fu=0.00 pbc="T T T"
V 3.6497 1.8248 0.8000
V 0.0000 1.8248 2.4000
Bi 3.6497 -1.8248 2.4000
Bi 0.0000 5.4745 0.8000
O 2.3259 1.8248 -0.2932
O 4.9734 1.8248 -0.2932
O 0.0000 0.5011 1.3068
O 3.6497 0.5011 1.8932
O 0.0000 3.1486 1.3068
O 3.6497 3.1486 1.8932
O -1.3237 1.8248 3.4932
O 1.3237 1.8248 3.4932

# 2
5
Lattice="5.2421 0.0000 0.0000 0.0000 5.2421 0.0000 0.0000 0.0000 5.2421" Properties=species:S:1:pos:R:3 comment="GGA-PBEsol ZnGaTe3, optimized geometry" e_form_raw_ev_per_atom=0.3100 magnetic_moment_mub_per_fu=0.00 pbc="T T T"
Zn 0.0000 0.0000 0.0000
Ga 2.6211 2.6211 2.6211
Te 0.0000 0.0000 2.6211
Te 0.0000 2.6211 0.0000
Te 2.6211 0.0000 0.0000

# 3
5
Lattice="5.2151 0.0000 0.0000 0.0000 5.2151 0.0000 0.0000 0.0000 5.2151" Properties=species:S:1:pos:R:3 comment="GGA-PBEsol SiTe3N, optimized geometry" e_form_raw_ev_per_atom=1.4501 magnetic_moment_mub_per_fu=2.41 pbc="T T T"
Si 0.0000 0.0000 0.0000
Te 0.0000 0.0000 2.6076
Te 0.0000 2.6076 0.0000
Te 2.6076 0.0000 0.0000
N 2.6076 2.6076 2.6076

# 4
8
Lattice="9.3183 0.0000 0.0000 0.0000 2.8509 0.0000 -1.3906 0.0000 4.2327" Properties=species:S:1:pos:R:3 comment="GGA-PBEsol LiMgCu2, optimized geometry" formation_enthalpy_0k_ev_per_fu=0.0 magnetic_moment_mub_per_fu=0.00 pbc="T T T"
Li 0.0000 0.0000 0.0000
Li 4.6592 1.4255 0.0000
Mg 2.1795 1.4255 1.3727
Mg 6.8386 0.0000 1.3727
Cu -0.4188 1.4255 2.2720
Cu 1.2173 0.0000 3.3933
Cu 4.2404 0.0000 2.2720
Cu 5.8765 1.4255 3.3933

# 5
5
Lattice="3.8007 0.0000 0.0000 0.0000 3.8007 0.0000 0.0000 0.0000 5.8450" Properties=species:S:1:pos:R:3 comment="GGA-PBEsol TaINO2, optimized geometry" e_form_raw_ev_per_atom=-0.4699 magnetic_moment_mub_per_fu=0.77 pbc="T T T"
Ta 0.0000 0.0000 0.0000
I 0.0000 0.0000 2.9225
N 1.9003 1.9003 2.9225
O 0.0000 1.9003 0.0000
O 1.9003 0.0000 0.0000

# 6
16
Lattice="6.5807 0.0000 0.0000 0.0000 6.5807 0.0000 0.0000 0.0000 9.0830" Properties=species:S:1:pos:R:3 comment="GGA-PBEsol LaHf2N, optimized geometry" e_form_raw_ev_per_atom=-0.4790 magnetic_moment_mub_per_fu=0.00 pbc="T T T"
La 0.0000 0.0000 0.0000
La 0.0000 3.2904 2.2708
La 3.2904 0.0000 6.8123
La 3.2904 3.2904 4.5415
Hf 0.3638 1.6452 5.6769
Hf 1.6452 3.6542 7.9477
Hf 1.6452 6.2169 3.4061
Hf 2.9265 1.6452 1.1354
Hf 3.6542 4.9355 1.1354
Hf 4.9355 0.3638 3.4061
Hf 4.9355 2.9265 7.9477
Hf 6.2169 4.9355 5.6769
N 0.0000 0.0000 4.5415
N 0.0000 3.2904 6.8123
N 3.2904 0.0000 2.2708
N 3.2904 3.2904 0.0000

# 7
5
Lattice="4.4548 0.0000 0.0000 0.0000 4.4548 0.0000 0.0000 0.0000 4.4382" Properties=species:S:1:pos:R:3 comment="GGA-PBEsol KPtO2F, optimized geometry" e_form_raw_ev_per_atom=1.0905 magnetic_moment_mub_per_fu=4.02 pbc="T T T"
K 0.0000 0.0000 0.0000
Pt 2.2274 2.2274 2.2191
O 0.0000 2.2274 0.0000
O 2.2274 0.0000 0.0000
F 0.0000 0.0000 2.2191

# 8
5
Lattice="5.2976 0.0000 0.0000 0.0000 5.2976 0.0000 0.0000 0.0000 5.2976" Properties=species:S:1:pos:R:3 comment="GGA-PBEsol ZrNbIn3, optimized geometry" formation_enthalpy_0k_ev_per_fu=6.5 magnetic_moment_mub_per_fu=2.40 pbc="T T T"
Zr 0.0000 0.0000 0.0000
Nb 2.6488 2.6488 2.6488
In 0.0000 0.0000 2.6488
In 0.0000 2.6488 0.0000
In 2.6488 0.0000 0.0000

# 9
4
Lattice="3.2314 0.0000 0.0000 -1.6157 2.7985 0.0000 0.0000 0.0000 10.2139" Properties=species:S:1:pos:R:3 comment="GGA-PBEsol LaMo, optimized geometry" formation_enthalpy_0k_ev_per_fu=1.1 magnetic_moment_mub_per_fu=0.00 e_above_lowest_polymorph_ev_per_atom=0.276 pbc="T T T"
La 0.0000 1.8656 3.4451
La 1.6157 0.9328 6.7687
Mo 0.0000 1.8656 9.3793
Mo 1.6157 0.9328 0.8346

# 10
4
Lattice="2.8536 0.0000 0.0000 0.0000 3.2341 0.0000 0.0000 0.0000 6.8747" Properties=species:S:1:pos:R:3 comment="GGA-PBEsol AlInPt2, optimized geometry" formation_enthalpy_0k_ev_per_fu=-2.8 magnetic_moment_mub_per_fu=0.00 pbc="T T T"
Al 0.0000 0.0000 0.0000
In 0.0000 0.0000 3.4373
Pt 1.4268 1.6171 1.4691
Pt 1.4268 1.6171 5.4056

# 11
7
Lattice="4.0708 0.0000 0.0000 0.0000 4.0708 0.0000 0.0000 0.0000 6.5816" Properties=species:S:1:pos:R:3 comment="GGA-PBEsol ZrGa5Co, optimized geometry" formation_enthalpy_0k_ev_per_fu=-3.4 magnetic_moment_mub_per_fu=0.00 pbc="T T T"
Zr 0.0000 0.0000 0.0000
Ga 0.0000 2.0354 2.0080
Ga 0.0000 2.0354 4.5737
Ga 2.0354 0.0000 2.0080
Ga 2.0354 0.0000 4.5737
Ga 2.0354 2.0354 0.0000
Co 0.0000 0.0000 3.2908

# 12
4
Lattice="3.8173 0.0000 0.0000 0.0000 3.8173 0.0000 0.0000 0.0000 6.3025" Properties=species:S:1:pos:R:3 comment="GGA-PBEsol SrAuSe2, optimized geometry" e_form_raw_ev_per_atom=-0.4992 magnetic_moment_mub_per_fu=0.00 e_above_lowest_polymorph_ev_per_atom=0.196 pbc="T T T"
Sr 0.0000 0.0000 0.0000
Au 0.0000 0.0000 3.1513
Se 1.9087 1.9087 1.6744
Se 1.9087 1.9087 4.6282

# 13
5
Lattice="5.2259 0.0000 0.0000 0.0000 5.2259 0.0000 0.0000 0.0000 5.2259" Properties=species:S:1:pos:R:3 comment="GGA-PBEsol Li3CaTe, optimized geometry" e_form_raw_ev_per_atom=-0.3181 magnetic_moment_mub_per_fu=0.00 pbc="T T T"
Li 0.0000 0.0000 2.6130
Li 0.0000 2.6130 0.0000
Li 2.6130 0.0000 0.0000
Ca 2.6130 2.6130 2.6130
Te 0.0000 0.0000 0.0000

# 14
6
Lattice="0.0000 3.9034 3.9034 3.9034 0.0000 3.9034 3.9034 3.9034 0.0000" Properties=species:S:1:pos:R:3 comment="GGA-PBEsol Zr4SbRu, optimized geometry" e_form_raw_ev_per_atom=0.2647 magnetic_moment_mub_per_fu=0.00 pbc="T T T"
Zr 2.9321 2.9321 2.9321
Zr 4.8747 4.8747 2.9321
Zr 4.8747 2.9321 4.8747
Zr 2.9321 4.8747 4.8747
Sb 0.0000 0.0000 0.0000
Ru 5.8551 5.8551 5.8551

# 15
4
Lattice="3.0026 0.0000 0.0000 0.0000 3.0026 0.0000 0.0000 0.0000 8.3092" Properties=species:S:1:pos:R:3 comment="GGA-PBEsol Cd2IrSe, optimized geometry" e_form_raw_ev_per_atom=0.1495 magnetic_moment_mub_per_fu=0.00 pbc="T T T"
Cd 0.0000 0.0000 0.0000
Cd 1.5013 1.5013 2.3069
Ir 0.0000 0.0000 4.3112
Se 1.5013 1.5013 5.7607

# 16
4
Lattice="3.4072 0.0000 0.0000 0.0000 3.4072 0.0000 0.0000 0.0000 8.2111" Properties=species:S:1:pos:R:3 comment="GGA-PBEsol LiCdPb2, optimized geometry" formation_enthalpy_0k_ev_per_fu=-0.4 magnetic_moment_mub_per_fu=0.00 pbc="T T T"
Li 0.0000 0.0000 0.0000
Cd 1.7036 1.7036 6.7050
Pb 0.0000 0.0000 4.5230
Pb 1.7036 1.7036 1.8759

# 17
16
Lattice="5.9270 0.0000 0.0000 0.0000 5.9270 0.0000 0.0000 0.0000 5.9270" Properties=species:S:1:pos:R:3 comment="GGA-PBEsol Re2SiS, optimized geometry" e_form_raw_ev_per_atom=0.0749 magnetic_moment_mub_per_fu=0.00 e_above_lowest_polymorph_ev_per_atom=0.000 pbc="T T T"
Re 1.4818 1.4818 1.4818
Re 1.4818 1.4818 4.4453
Re 1.4818 4.4453 1.4818
Re 1.4818 4.4453 4.4453
Re 4.4453 1.4818 1.4818
Re 4.4453 1.4818 4.4453
Re 4.4453 4.4453 1.4818
Re 4.4453 4.4453 4.4453
Si 0.0000 0.0000 0.0000
Si 0.0000 2.9635 2.9635
Si 2.9635 0.0000 2.9635
Si 2.9635 2.9635 0.0000
S 0.0000 0.0000 2.9635
S 0.0000 2.9635 0.0000
S 2.9635 0.0000 0.0000
S 2.9635 2.9635 2.9635

# 18
5
Lattice="5.1361 0.0000 0.0000 0.0000 5.1361 0.0000 0.0000 0.0000 5.1361" Properties=species:S:1:pos:R:3 comment="GGA-PBEsol BeReSn3, optimized geometry" formation_enthalpy_0k_ev_per_fu=4.3 magnetic_moment_mub_per_fu=0.00 pbc="T T T"
Be 0.0000 0.0000 0.0000
Re 2.5681 2.5681 2.5681
Sn 0.0000 2.5681 2.5681
Sn 2.5681 0.0000 2.5681
Sn 2.5681 2.5681 0.0000

# 19
5
Lattice="5.4110 0.0000 0.0000 0.0000 5.4110 0.0000 0.0000 0.0000 4.9334" Properties=species:S:1:pos:R:3 comment="GGA-PBEsol ScIn2SiP, optimized geometry" e_form_raw_ev_per_atom=1.0608 magnetic_moment_mub_per_fu=0.00 pbc="T T T"
Sc 0.0000 0.0000 0.0000
In 0.0000 2.7055 0.0000
In 2.7055 0.0000 0.0000
Si 0.0000 0.0000 2.4667
P 2.7055 2.7055 2.4667

# 20
6
Lattice="0.0000 4.0678 4.0678 4.0678 0.0000 4.0678 4.0678 4.0678 0.0000" Properties=species:S:1:pos:R:3 comment="GGA-PBEsol CaScCd4, optimized geometry" formation_enthalpy_0k_ev_per_fu=-1.5 magnetic_moment_mub_per_fu=0.00 pbc="T T T"
Ca 0.0000 0.0000 0.0000
Sc 6.1017 6.1017 6.1017
Cd 3.0548 3.0548 3.0548
Cd 5.0807 5.0807 3.0548
Cd 5.0807 3.0548 5.0807
Cd 3.0548 5.0807 5.0807

# 21
5
Lattice="6.6013 0.0000 0.0000 0.0000 6.6013 0.0000 0.0000 0.0000 5.4617" Properties=species:S:1:pos:R:3 comment="GGA-PBEsol Ba2NaLiCa, optimized geometry" formation_enthalpy_0k_ev_per_fu=1.1 magnetic_moment_mub_per_fu=0.00 pbc="T T T"
Ba 0.0000 3.3006 0.0000
Ba 3.3006 0.0000 0.0000
Na 0.0000 0.0000 2.7309
Li 0.0000 0.0000 0.0000
Ca 3.3006 3.3006 2.7309

# 22
12
Lattice="3.6158 0.0000 0.0000 -1.8079 3.1314 0.0000 0.0000 0.0000 26.1860" Properties=species:S:1:pos:R:3 comment="GGA-PBEsol Sc2ZnAs, optimized geometry" formation_enthalpy_0k_ev_per_fu=-1.0 magnetic_moment_mub_per_fu=0.00 e_above_lowest_polymorph_ev_per_atom=0.589 pbc="T T T"
Sc 0.0000 0.0000 2.8185
Sc 0.0000 0.0000 23.3676
Sc 0.0000 2.0876 14.6389
Sc 0.0000 2.0876 20.2758
Sc 1.8079 1.0438 5.9102
Sc 1.8079 1.0438 11.5472
Zn 0.0000 0.0000 0.0000
Zn 0.0000 2.0876 17.4574
Zn 1.8079 1.0438 8.7287
As 0.0000 0.0000 13.0930
As 0.0000 2.0876 4.3643
As 1.8079 1.0438 21.8217

# 23
5
Lattice="5.6936 0.0000 0.0000 0.0000 5.6936 0.0000 0.0000 0.0000 5.6936" Properties=species:S:1:pos:R:3 comment="GGA-PBEsol Ca3SbN, optimized geometry" e_form_raw_ev_per_atom=0.5906 magnetic_moment_mub_per_fu=0.11 pbc="T T T"
Ca 0.0000 0.0000 2.8468
Ca 0.0000 2.8468 0.0000
Ca 2.8468 0.0000 0.0000
Sb 0.0000 0.0000 0.0000
N 2.8468 2.8468 2.8468

# 24
4
Lattice="3.1553 0.0000 0.0000 0.0000 5.2992 0.0000 0.0000 0.0000 5.3388" Properties=species:S:1:pos:R:3 comment="GGA-PBEsol K2CoSi, optimized geometry" e_form_raw_ev_per_atom=0.9438 magnetic_moment_mub_per_fu=1.76 pbc="T T T"
K 0.0000 0.0000 1.3277
K 0.0000 0.0000 4.0111
Co 1.5776 2.6496 0.0000
Si 1.5776 2.6496 2.6694

# 25
36
Lattice="8.5460 0.0000 0.0000 0.0000 15.6657 0.0000 0.0000 0.0000 8.2530" Properties=species:S:1:pos:R:3 comment="GGA-PBEsol Rb3PbCl5, optimized geometry" e_form_raw_ev_per_atom=-1.6795 magnetic_moment_mub_per_fu=0.00 pbc="T T T"
Rb 0.7216 3.9164 1.1672
Rb 2.0617 0.7439 3.9007
Rb 2.0617 7.0889 3.9007
Rb 2.2113 8.5768 8.0272
Rb 2.2113 14.9217 8.0272
Rb 3.5515 11.7492 5.2937
Rb 4.9946 3.9164 2.9593
Rb 6.3347 0.7439 0.2258
Rb 6.3347 7.0889 0.2258
Rb 6.4844 8.5768 4.3523
Rb 6.4844 14.9217 4.3523
Rb 7.8245 11.7492 7.0858
Pb 0.5996 11.7492 2.9219
Pb 3.6734 3.9164 7.0484
Pb 4.8726 11.7492 1.2046
Pb 7.9465 3.9164 5.3311
Cl 0.4951 1.8185 6.8148
Cl 0.4951 6.0143 6.8148
Cl 0.9087 9.7792 5.1740
Cl 0.9087 13.7193 5.1740
Cl 1.9586 3.9164 4.3223
Cl 2.3144 11.7492 0.1958
Cl 3.3643 1.9463 1.0475
Cl 3.3643 5.8865 1.0475
Cl 3.7779 9.6513 2.6883
Cl 3.7779 13.8472 2.6883
Cl 4.7681 1.8185 5.5647
Cl 4.7681 6.0143 5.5647
Cl 5.1818 9.7792 7.2055
Cl 5.1818 13.7193 7.2055
Cl 6.2316 3.9164 8.0572
Cl 6.5875 11.7492 3.9307
Cl 7.6373 1.9463 3.0790
Cl 7.6373 5.8865 3.0790
Cl 8.0509 9.6513 1.4382
Cl 8.0509 13.8472 1.4382

# 26
16
Lattice="5.5871 0.0000 0.0000 0.0000 5.5871 0.0000 0.0000 0.0000 10.9381" Properties=species:S:1:pos:R:3 comment="GGA-PBEsol BeBi2C, optimized geometry" formation_enthalpy_0k_ev_per_fu=3.8 magnetic_moment_mub_per_fu=0.00 pbc="T T T"
Be 0.0000 0.0000 0.0000
Be 0.0000 2.7935 2.7345
Be 2.7935 0.0000 8.2036
Be 2.7935 2.7935 5.4691
Bi 1.2835 1.3968 6.8363
Bi 1.3968 4.0770 9.5708
Bi 1.3968 4.3036 4.1018
Bi 1.5101 1.3968 1.3673
Bi 4.0770 4.1903 1.3673
Bi 4.1903 1.2835 4.1018
Bi 4.1903 1.5101 9.5708
Bi 4.3036 4.1903 6.8363
C 0.0000 0.0000 5.4691
C 0.0000 2.7935 8.2036
C 2.7935 0.0000 2.7345
C 2.7935 2.7935 0.0000

# 27
15
Lattice="4.5805 0.0000 0.0000 -2.2902 3.9668 0.0000 0.0000 0.0000 14.1003" Properties=species:S:1:pos:R:3 comment="GGA-PBEsol Ta4Mo, optimized geometry" formation_enthalpy_0k_ev_per_fu=-0.4 magnetic_moment_mub_per_fu=0.00 e_above_lowest_polymorph_ev_per_atom=0.014 pbc="T T T"
Ta 0.0000 0.0000 1.4513
Ta 0.0000 0.0000 4.3047
Ta 0.0000 0.0000 9.7956
Ta 0.0000 0.0000 12.6490
Ta 0.0000 2.6445 5.0955
Ta 0.0000 2.6445 7.9489
Ta 0.0000 2.6445 10.8515
Ta 0.0000 2.6445 13.7050
Ta 2.2902 1.3223 0.3954
Ta 2.2902 1.3223 3.2488
Ta 2.2902 1.3223 6.1514
Ta 2.2902 1.3223 9.0048
Mo 0.0000 0.0000 7.0502
Mo 0.0000 2.6445 2.3501
Mo 2.2902 1.3223 11.7503